Entry 1:
AcTmTe2Se | Alexandria via LeMat-Bulk | GGA-PBE | optimized geometry; formation energy without anion corrections = -1.44 eV per atom; density of states at the Fermi level = 2.22 states/eV/f.u.; total moment = 0.0 μB per cell; SG = P4/nmm (129)
1.0
-0.737 -3.221 -3.074
4.439 -0.288 -0.763
1.223 -11.051 11.284
Ac Tm Te Se
2 2 4 2
Direct
0.500 0.000 0.633
0.000 0.500 0.367
0.500 0.000 0.094
0.000 0.500 0.906
0.000 0.500 0.719
0.000 0.500 0.100
0.500 0.000 0.900
0.500 0.000 0.281
0.000 0.000 0.500
0.500 0.500 0.500

---

Entry 2:
TbTcC | Alexandria via LeMat-Bulk | GGA-PBE | optimized geometry; energy relative to the elements = -0.046 eV/atom; density of states at the Fermi level = 1.51 states/eV/f.u.; total moment = 0.0 μB per cell; SG = C2/m (12)
1.0
-3.175 2.098 -0.710
-1.878 -0.589 6.660
5.951 6.062 1.860
Tb Tc C
4 4 4
Direct
0.898 0.608 0.796
0.600 0.832 0.200
0.400 0.168 0.800
0.102 0.392 0.204
0.758 0.353 0.517
0.208 0.076 0.417
0.242 0.647 0.483
0.792 0.924 0.583
0.678 0.557 0.356
0.312 0.890 0.624
0.322 0.443 0.644
0.688 0.110 0.376